1.
First-principles (PBE-GGA) data for Cs3La3HfS8 after structural relaxation, as listed in Alexandria.

Values from the calculation:
As for the uncorrected energy: -5.8540 eV per atom. As for the magnetization: 0.00 Bohr magnetons per cell. As for the formation energy from raw total energies: -1.8329 eV/atom. As for the density of states at the Fermi level: 0.000 states/eV per atom. The calculation puts the volume at 33.32 Å³ per atom.

a = 8.386 Å, b = 8.386 Å, c = 9.531 Å
α = 116.13°, β = 90.00°, γ = 120.00°
Fractional positions:
Cs1 0.000 0.000 0.000
Cs2 0.000 0.500 0.000
Cs3 0.500 0.500 0.000
La1 0.500 0.000 0.500
La2 0.500 0.500 0.500
La3 0.000 0.500 0.500
Hf1 0.000 0.000 0.500
S1 0.271 0.541 0.312
S2 0.729 0.459 0.688
S3 0.792 0.583 0.326
S4 0.208 0.417 0.674
S5 0.792 0.034 0.326
S6 0.208 0.966 0.674
S7 0.243 0.034 0.326
S8 0.757 0.966 0.674

2.
First-principles (PBE-GGA) data for DyEr4Ag5 after structural relaxation, as listed in Alexandria.

Values from the calculation:
As for the uncorrected energy: -4.0452 eV per atom. As for the magnetization: 0.00 Bohr magnetons per cell. The formation energy comes out at -0.334 eV per atom. As for the density of states at the Fermi level: 0.437 states/eV per atom. The calculation puts the volume at 23.51 Å³ per atom.

a = 3.577 Å, b = 3.577 Å, c = 18.367 Å
α = 90.00°, β = 90.00°, γ = 90.00°
Fractional positions:
Dy1 0.000 0.000 0.000
Er1 0.000 0.000 0.201
Er2 0.000 0.000 0.400
Er3 0.000 0.000 0.600
Er4 0.000 0.000 0.799
Ag1 0.500 0.500 0.102
Ag2 0.500 0.500 0.301
Ag3 0.500 0.500 0.500
Ag4 0.500 0.500 0.699
Ag5 0.500 0.500 0.898

3.
First-principles (PBE-GGA) data for Cs2Sr2NbO6 after structural relaxation, as listed in Alexandria.

Values from the calculation:
As for the uncorrected energy: -6.2944 eV per atom. As for the magnetization: 1.12 Bohr magnetons per cell. As for the formation energy from raw total energies: -2.2135 eV/atom. As for the density of states at the Fermi level: 0.890 states/eV per atom. The calculation puts the volume at 21.08 Å³ per atom.

a = 6.190 Å, b = 6.190 Å, c = 7.204 Å
α = 97.98°, β = 97.98°, γ = 119.12°
Site moments in Bohr magnetons follow the coordinates.
Fractional positions:
Cs1 0.833 0.167 0.000  0.00
Cs2 0.167 0.833 0.000  0.00
Sr1 0.338 0.662 0.500  0.00
Sr2 0.662 0.338 0.500  0.00
Nb1 0.000 0.000 0.500  -0.07
O1 0.780 0.780 0.664  0.12
O2 0.046 0.327 0.660  0.18
O3 0.220 0.220 0.336  0.12
O4 0.327 0.046 0.660  0.18
O5 0.954 0.673 0.340  0.18
O6 0.673 0.954 0.340  0.18

4.
First-principles (PBE-GGA) data for LiCoCuIr after structural relaxation, as listed in Alexandria.

Values from the calculation:
As for the uncorrected energy: -5.4382 eV per atom. As for the magnetization: 2.48 Bohr magnetons per cell. The formation energy comes out at 0.056 eV per atom. As for the density of states at the Fermi level: 0.706 states/eV per atom. The calculation puts the volume at 12.56 Å³ per atom.

a = 4.142 Å, b = 4.142 Å, c = 4.142 Å
α = 60.00°, β = 60.00°, γ = 60.00°
Site moments in Bohr magnetons follow the coordinates.
Fractional positions:
Ir1 0.000 0.000 0.000  0.64
Co1 0.750 0.750 0.750  1.83
Cu1 0.250 0.250 0.250  0.05
Li1 0.500 0.500 0.500  -0.02

5.
First-principles (PBE-GGA) data for Cs2YHg3F12 after structural relaxation, as listed in Alexandria.

Values from the calculation:
As for the uncorrected energy: -4.0280 eV per atom. As for the magnetization: 0.00 Bohr magnetons per cell. As for the formation energy from raw total energies: -2.2762 eV/atom. As for the density of states at the Fermi level: 0.212 states/eV per atom. The calculation puts the volume at 22.75 Å³ per atom.

a = 8.461 Å, b = 8.461 Å, c = 8.461 Å
α = 58.07°, β = 58.07°, γ = 58.07°
Fractional positions:
Cs1 0.670 0.670 0.670
Cs2 0.330 0.330 0.330
Y1 0.000 0.000 0.000
Hg1 0.500 0.000 0.000
Hg2 0.000 0.500 0.000
Hg3 0.000 0.000 0.500
F1 0.322 0.322 0.947
F2 0.926 0.926 0.316
F3 0.316 0.926 0.926
F4 0.947 0.322 0.322
F5 0.926 0.316 0.926
F6 0.322 0.947 0.322
F7 0.678 0.678 0.053
F8 0.074 0.074 0.684
F9 0.684 0.074 0.074
F10 0.053 0.678 0.678
F11 0.074 0.684 0.074
F12 0.678 0.053 0.678

6.
First-principles (PBE-GGA) data for CsRbPt after structural relaxation, as listed in Alexandria.

Values from the calculation:
As for the uncorrected energy: -2.6361 eV per atom. As for the magnetization: 0.21 Bohr magnetons per cell. The formation energy comes out at -0.015 eV per atom. The distance to the lowest polymorph of the same formula is 45 meV/atom. The calculation puts the volume at 43.83 Å³ per atom.

a = 5.708 Å, b = 5.708 Å, c = 5.708 Å
α = 60.00°, β = 60.00°, γ = 60.00°
Site moments in Bohr magnetons follow the coordinates.
Fractional positions:
Cs1 0.000 0.000 0.000  0.00
Pt1 0.250 0.250 0.250  0.20
Rb1 0.500 0.500 0.500  0.00

7.
First-principles (PBE-GGA) data for CaLaTeI2 after structural relaxation, as listed in Alexandria.

Values from the calculation:
As for the uncorrected energy: -3.5667 eV per atom. As for the magnetization: 0.51 Bohr magnetons per cell. As for the formation energy from raw total energies: -0.9325 eV/atom. As for the density of states at the Fermi level: 0.581 states/eV per atom. The calculation puts the volume at 48.26 Å³ per atom.

a = 6.242 Å, b = 6.242 Å, c = 6.194 Å
α = 90.00°, β = 90.00°, γ = 90.00°
Site moments in Bohr magnetons follow the coordinates.
Fractional positions:
I1 0.000 0.500 0.000  0.01
I2 0.500 0.000 0.000  0.01
Ca1 0.500 0.500 0.500  0.08
Te1 0.000 0.000 0.500  0.01
La1 0.000 0.000 0.000  0.02

8.
First-principles (PBE-GGA) data for ZnGa2Co5B2 after structural relaxation, as listed in Alexandria.

Values from the calculation:
As for the uncorrected energy: -5.8192 eV per atom. As for the magnetization: 0.02 Bohr magnetons per cell. The formation energy comes out at -0.198 eV per atom. As for the density of states at the Fermi level: 0.511 states/eV per atom. The calculation puts the volume at 10.46 Å³ per atom.

a = 2.763 Å, b = 8.700 Å, c = 8.700 Å
α = 90.00°, β = 90.00°, γ = 90.00°
Fractional positions:
Zn1 0.000 0.000 0.000
Zn2 0.000 0.500 0.500
Ga1 0.000 0.678 0.178
Ga2 0.000 0.322 0.822
Ga3 0.000 0.178 0.322
Ga4 0.000 0.822 0.678
Co1 0.500 0.220 0.070
Co2 0.500 0.780 0.930
Co3 0.500 0.070 0.780
Co4 0.500 0.720 0.430
Co5 0.500 0.930 0.220
Co6 0.500 0.280 0.570
Co7 0.500 0.570 0.720
Co8 0.500 0.430 0.280
Co9 0.500 0.500 0.000
Co10 0.500 0.000 0.500
B1 0.000 0.124 0.624
B2 0.000 0.876 0.376
B3 0.000 0.624 0.876
B4 0.000 0.376 0.124

9.
First-principles (PBE-GGA) data for Pr5Nd4Tl4 after structural relaxation, as listed in Alexandria.

Values from the calculation:
As for the uncorrected energy: -4.2814 eV per atom. As for the magnetization: 0.00 Bohr magnetons per cell. The formation energy comes out at -0.248 eV per atom. As for the density of states at the Fermi level: 1.300 states/eV per atom. The calculation puts the volume at 32.81 Å³ per atom.

a = 5.249 Å, b = 9.388 Å, c = 9.388 Å
α = 85.52°, β = 73.77°, γ = 73.77°
Fractional positions:
Pr1 0.692 0.908 0.708
Pr2 0.308 0.092 0.292
Pr3 0.000 0.000 0.000
Pr4 0.600 0.708 0.092
Pr5 0.400 0.292 0.908
Nd1 0.908 0.479 0.704
Nd2 0.613 0.296 0.479
Nd3 0.092 0.521 0.296
Nd4 0.387 0.704 0.521
Tl1 0.768 0.339 0.125
Tl2 0.232 0.661 0.875
Tl3 0.893 0.875 0.339
Tl4 0.107 0.125 0.661

10.
First-principles (PBE-GGA) data for CaDy2Tm3Bi6 after structural relaxation, as listed in Alexandria.

Values from the calculation:
As for the uncorrected energy: -4.7844 eV per atom. As for the magnetization: 0.00 Bohr magnetons per cell. The formation energy comes out at -0.792 eV per atom. As for the density of states at the Fermi level: 0.267 states/eV per atom. The calculation puts the volume at 31.74 Å³ per atom.

a = 4.466 Å, b = 8.975 Å, c = 10.016 Å
α = 102.99°, β = 102.88°, γ = 90.00°
Fractional positions:
Ca1 0.500 0.000 0.000
Dy1 0.834 0.668 0.668
Dy2 0.166 0.332 0.332
Tm1 0.500 0.500 0.000
Tm2 0.835 0.166 0.670
Tm3 0.165 0.834 0.330
Bi1 0.330 0.917 0.660
Bi2 0.666 0.585 0.333
Bi3 0.670 0.083 0.340
Bi4 0.000 0.258 0.999
Bi5 0.000 0.742 0.001
Bi6 0.334 0.415 0.667

11.
First-principles (PBE-GGA) data for Ac8SnRu3I4 after structural relaxation, as listed in Alexandria.

Values from the calculation:
As for the uncorrected energy: -5.1693 eV per atom. As for the magnetization: 0.00 Bohr magnetons per cell. As for the formation energy from raw total energies: -0.7382 eV/atom. As for the density of states at the Fermi level: 0.539 states/eV per atom. The calculation puts the volume at 37.57 Å³ per atom.

a = 9.026 Å, b = 9.991 Å, c = 9.027 Å
α = 116.90°, β = 120.00°, γ = 90.00°
Fractional positions:
Ac1 0.242 0.684 0.942
Ac2 0.242 0.684 0.484
Ac3 0.268 0.305 0.537
Ac4 0.700 0.684 0.942
Ac5 0.300 0.316 0.058
Ac6 0.732 0.695 0.463
Ac7 0.758 0.316 0.516
Ac8 0.758 0.316 0.058
Sn1 0.000 0.500 0.000
Ru1 0.500 0.500 0.000
Ru2 0.500 0.500 0.500
Ru3 0.000 0.500 0.500
I1 0.500 0.000 0.000
I2 0.500 0.000 0.500
I3 0.000 0.000 0.000
I4 0.000 0.000 0.500

12.
First-principles (PBE-GGA) data for Nd2PaTe2As2 after structural relaxation, as listed in Alexandria.

Values from the calculation:
As for the uncorrected energy: -5.9293 eV per atom. As for the magnetization: 0.00 Bohr magnetons per cell. As for the formation energy from raw total energies: -0.9844 eV/atom. As for the density of states at the Fermi level: 0.585 states/eV per atom. The calculation puts the volume at 32.77 Å³ per atom.

a = 5.390 Å, b = 5.390 Å, c = 8.768 Å
α = 107.90°, β = 107.90°, γ = 90.00°
Fractional positions:
Nd1 0.387 0.387 0.775
Nd2 0.613 0.613 0.225
Pa1 0.000 0.000 0.000
Te1 0.189 0.189 0.379
Te2 0.811 0.811 0.621
As1 0.000 0.500 0.000
As2 0.500 0.000 0.000

uncorrected energy of number 7 (CaLaTeI2)?
-3.5667 eV per atom